Record 1
Computed, not measured: a relaxed structure of TbSm3Tm4 at the GGA-PBE level of DFT.

Unit cell a=11.2969 b=7.2554 c=6.2580 alpha=90.00 beta=90.00 gamma=90.00
With the nearest neighbours (Å) after each atom.
Fractional coordinates of all 16 atoms:
Tb1 0.0000 0.1291 0.0000  6 Tm 3.50-3.68, 6 Sm 3.52-3.64
Tb2 0.5000 0.8709 0.5000  6 Tm 3.50-3.68, 6 Sm 3.52-3.64
Sm1 0.0000 0.8725 0.5001  4 Sm 3.52-3.53, 6 Tm 3.53-3.67, 2 Tb 3.64
Sm2 0.2501 0.1275 0.3350  6 Tm 3.52-3.67, 4 Sm 3.52-3.63, 2 Tb 3.52-3.54
Sm3 0.2499 0.8725 0.8350  6 Tm 3.52-3.67, 4 Sm 3.52-3.63, 2 Tb 3.52-3.54
Sm4 0.5000 0.1275 0.0001  4 Sm 3.52-3.53, 6 Tm 3.53-3.67, 2 Tb 3.64
Sm5 0.7499 0.1275 0.3350  6 Tm 3.52-3.67, 4 Sm 3.52-3.63, 2 Tb 3.52-3.54
Sm6 0.7501 0.8725 0.8350  6 Tm 3.52-3.67, 4 Sm 3.52-3.63, 2 Tb 3.52-3.54
Tm1 0.0000 0.3786 0.5014  6 Tm 3.50-3.59, 4 Sm 3.52-3.67, 2 Tb 3.61-3.62
Tm2 0.0000 0.6217 0.0009  6 Tm 3.48-3.59, 4 Sm 3.52-3.62, 2 Tb 3.57-3.68
Tm3 0.2492 0.3785 0.8339  6 Tm 3.48-3.59, 1 Tb 3.50, 5 Sm 3.53-3.67
Tm4 0.2508 0.6215 0.3339  6 Tm 3.48-3.59, 1 Tb 3.50, 5 Sm 3.53-3.67
Tm5 0.5000 0.3783 0.5009  6 Tm 3.48-3.59, 4 Sm 3.52-3.62, 2 Tb 3.57-3.68
Tm6 0.5000 0.6214 0.0014  6 Tm 3.50-3.59, 4 Sm 3.52-3.67, 2 Tb 3.61-3.62
Tm7 0.7492 0.6215 0.3339  6 Tm 3.48-3.59, 1 Tb 3.50, 5 Sm 3.53-3.67
Tm8 0.7508 0.3785 0.8339  6 Tm 3.48-3.59, 1 Tb 3.50, 5 Sm 3.53-3.67

Output
As for the space group: Pmn2_1. The value obtained for the size of the total moment is 0.00 μB per cell. The calculation puts the total DFT energy (no corrections) at -4.57 eV/atom. The value obtained for the formation enthalpy at 0 K is 0.017 eV per atom. The value obtained for the energy above the lowest structure with this stoichiometry is 0.0000 eV/atom.

***

Record 2
Computed, not measured: a relaxed structure of Tb5Sm2Tm2 at the GGA-PBE level of DFT.

Unit cell a=10.0533 b=10.0533 c=10.0533 alpha=84.83 beta=108.20 gamma=141.05
With the nearest neighbours (Å) after each atom.
Fractional coordinates of all 18 atoms:
Tb1 0.0464 0.4566 0.8767  4 Tb 3.15-3.37, 1 Tm 3.32, 1 Sm 3.41
Tb2 0.0464 0.6698 0.0898  4 Tb 3.15-3.37, 1 Tm 3.32, 1 Sm 3.41
Tb3 0.0646 0.0545 0.5101  6 Tb 3.24-3.59, 2 Sm 3.42-3.53, 2 Tm 3.55
Tb4 0.2470 0.0510 0.2980  4 Tb 3.15-3.35, 1 Sm 3.30, 1 Tm 3.30
Tb5 0.2470 0.4490 0.6960  4 Tb 3.15-3.35, 1 Sm 3.30, 1 Tm 3.30
Tb6 0.5444 0.5545 0.4899  6 Tb 3.24-3.59, 2 Sm 3.42-3.53, 2 Tm 3.55
Tb7 0.5800 0.1698 0.1233  4 Tb 3.15-3.37, 1 Tm 3.32, 1 Sm 3.41
Tb8 0.5800 0.9566 0.9102  4 Tb 3.15-3.37, 1 Tm 3.32, 1 Sm 3.41
Tb9 0.7530 0.5510 0.3040  4 Tb 3.15-3.35, 1 Sm 3.30, 1 Tm 3.30
Tb10 0.7530 0.9490 0.7020  4 Tb 3.15-3.35, 1 Sm 3.30, 1 Tm 3.30
Sm1 0.5967 0.8531 0.2436  4 Tb 3.41-3.53, 2 Tm 3.56, 2 Sm 3.74
Sm2 0.6095 0.3531 0.7564  4 Tb 3.41-3.53, 2 Tm 3.56, 2 Sm 3.74
Sm3 0.6768 0.1768 0.5000  4 Tb 3.30-3.60, 2 Tm 3.68
Sm4 0.6768 0.6768 0.0000  4 Tb 3.30-3.60, 2 Tm 3.68
Tm1 0.1450 0.2745 0.1246  4 Tb 3.30-3.55, 2 Sm 3.56-3.68, 1 Tm 3.65
Tm2 0.1450 0.5204 0.3705  4 Tb 3.30-3.55, 2 Sm 3.56-3.68, 1 Tm 3.65
Tm3 0.1499 0.0204 0.8754  4 Tb 3.30-3.55, 2 Sm 3.56-3.68, 1 Tm 3.65
Tm4 0.1499 0.7745 0.6295  4 Tb 3.30-3.55, 2 Sm 3.56-3.68, 1 Tm 3.65

Output
As for the space group: Ima2. The value obtained for the size of the total moment is 0.00 μB per cell. The calculation puts the total DFT energy (no corrections) at -4.39 eV/atom. The value obtained for the formation enthalpy at 0 K is 0.224 eV per atom. The value obtained for the energy above the lowest structure with this stoichiometry is 0.2083 eV/atom.

***

Record 3
Computed, not measured: a relaxed structure of Tb10Sm4Tm at the GGA-PBE level of DFT.

Unit cell a=8.9791 b=8.9791 c=8.9791 alpha=114.13 beta=114.13 gamma=100.52
With the nearest neighbours (Å) after each atom.
Fractional coordinates of all 15 atoms:
Tb1 0.0436 0.3892 0.1109  2 Tb 3.07-3.33, 1 Tm 3.11
Tb2 0.0673 0.9564 0.3456  2 Tb 3.07-3.33, 1 Tm 3.11
Tb3 0.2500 0.7500 0.5000  4 Tb 3.07, 4 Sm 3.41
Tb4 0.2782 0.9327 0.8891  2 Tb 3.07-3.33, 1 Tm 3.11
Tb5 0.3892 0.2782 0.3456  2 Tb 3.07-3.33, 1 Tm 3.11
Tb6 0.6108 0.7218 0.6544  2 Tb 3.07-3.33, 1 Tm 3.11
Tb7 0.7218 0.0673 0.1109  2 Tb 3.07-3.33, 1 Tm 3.11
Tb8 0.7500 0.2500 0.5000  4 Tb 3.07, 4 Sm 3.41
Tb9 0.9327 0.0436 0.6544  2 Tb 3.07-3.33, 1 Tm 3.11
Tb10 0.9564 0.6108 0.8891  2 Tb 3.07-3.33, 1 Tm 3.11
Sm1 0.1752 0.4304 0.6055  4 Tb 3.41-3.61, 1 Sm 3.68
Sm2 0.4304 0.8248 0.2552  4 Tb 3.41-3.61, 1 Sm 3.68
Sm3 0.5696 0.1752 0.7448  4 Tb 3.41-3.61, 1 Sm 3.68
Sm4 0.8248 0.5696 0.3945  4 Tb 3.41-3.61, 1 Sm 3.68
Tm1 0.0000 0.0000 0.0000  8 Tb 3.11

Output
As for the space group: I4/m. The value obtained for the size of the total moment is 0.00 μB per cell. The calculation puts the total DFT energy (no corrections) at -4.22 eV/atom. The value obtained for the formation enthalpy at 0 K is 0.418 eV per atom.

***

Record 4
Computed, not measured: a relaxed structure of Tb5Sm12Tm2 at the GGA-PBE level of DFT.

Unit cell a=9.1547 b=9.1547 c=8.7066 alpha=91.91 beta=91.91 gamma=60.64
With the nearest neighbours (Å) after each atom.
Fractional coordinates of all 19 atoms:
Tb1 0.0000 0.0000 0.0000  10 Sm 3.50-3.78, 2 Tb 3.68
Tb2 0.2311 0.2311 0.0680  8 Sm 3.38-3.70, 2 Tb 3.64-3.68
Tb3 0.2966 0.2966 0.4733  8 Sm 3.49-3.73, 2 Tm 3.58, 1 Tb 3.64
Tb4 0.7034 0.7034 0.5267  8 Sm 3.49-3.73, 2 Tm 3.58, 1 Tb 3.64
Tb5 0.7689 0.7689 0.9320  8 Sm 3.38-3.70, 2 Tb 3.64-3.68
Sm1 0.0313 0.6686 0.2625  4 Sm 3.35-3.66, 1 Tm 3.37, 4 Tb 3.53-3.75
Sm2 0.0794 0.0794 0.3809  5 Sm 3.32-3.66, 2 Tm 3.46, 3 Tb 3.49-3.70
Sm3 0.1756 0.5662 0.8220  4 Tb 3.40-3.78, 5 Sm 3.43-3.61, 1 Tm 3.54
Sm4 0.3314 0.9687 0.7375  4 Sm 3.35-3.66, 1 Tm 3.37, 4 Tb 3.53-3.75
Sm5 0.4338 0.8244 0.1780  4 Tb 3.40-3.78, 5 Sm 3.43-3.61, 1 Tm 3.54
Sm6 0.4410 0.4410 0.1589  2 Tb 3.38-3.63, 7 Sm 3.40-3.58, 2 Tm 3.46
Sm7 0.5590 0.5590 0.8411  2 Tb 3.38-3.63, 7 Sm 3.40-3.58, 2 Tm 3.46
Sm8 0.5662 0.1756 0.8220  4 Tb 3.40-3.78, 5 Sm 3.43-3.61, 1 Tm 3.54
Sm9 0.6686 0.0313 0.2625  4 Sm 3.35-3.66, 1 Tm 3.37, 4 Tb 3.53-3.75
Sm10 0.8244 0.4338 0.1780  4 Tb 3.40-3.78, 5 Sm 3.43-3.61, 1 Tm 3.54
Sm11 0.9206 0.9206 0.6191  5 Sm 3.32-3.66, 2 Tm 3.46, 3 Tb 3.49-3.70
Sm12 0.9687 0.3314 0.7375  4 Sm 3.35-3.66, 1 Tm 3.37, 4 Tb 3.53-3.75
Tm1 0.3286 0.6714 0.5000  1 Tm 3.17, 8 Sm 3.37-3.54
Tm2 0.6714 0.3286 0.5000  1 Tm 3.17, 8 Sm 3.37-3.54

Output
As for the space group: C2/m. The value obtained for the size of the total moment is 0.00 μB per cell. The calculation puts the total DFT energy (no corrections) at -4.55 eV/atom. The value obtained for the formation enthalpy at 0 K is 0.120 eV per atom. The value obtained for the energy above the lowest structure with this stoichiometry is 0.0000 eV/atom.

***

Record 5
Computed, not measured: a relaxed structure of Tb3SmTm at the GGA-PBE level of DFT.

Unit cell a=6.2922 b=5.6673 c=9.6050 alpha=90.00 beta=109.10 gamma=90.00
With the nearest neighbours (Å) after each atom.
Fractional coordinates of all 10 atoms:
Tb1 0.1339 0.2500 0.0983  5 Tb 3.52-3.65, 4 Tm 3.52-3.63, 3 Sm 3.53-3.61
Tb2 0.2685 0.7500 0.7025  3 Tm 3.52-3.59, 3 Sm 3.53-3.66, 6 Tb 3.53-3.66
Tb3 0.3354 0.2500 0.5007  7 Tb 3.51-3.66, 4 Sm 3.53-3.64, 1 Tm 3.64
Tb4 0.6646 0.7500 0.4993  7 Tb 3.51-3.66, 4 Sm 3.53-3.64, 1 Tm 3.64
Tb5 0.7315 0.2500 0.2975  3 Tm 3.52-3.59, 3 Sm 3.53-3.66, 6 Tb 3.53-3.66
Tb6 0.8661 0.7500 0.9017  5 Tb 3.52-3.65, 4 Tm 3.52-3.63, 3 Sm 3.53-3.61
Sm1 0.0671 0.7500 0.2997  10 Tb 3.53-3.66, 2 Tm 3.64
Sm2 0.9329 0.2500 0.7003  10 Tb 3.53-3.66, 2 Tm 3.64
Tm1 0.4665 0.7500 0.0983  2 Tm 3.51, 8 Tb 3.52-3.64, 2 Sm 3.64
Tm2 0.5335 0.2500 0.9017  2 Tm 3.51, 8 Tb 3.52-3.64, 2 Sm 3.64

Output
As for the space group: P2_1/m. The value obtained for the size of the total moment is 0.00 μB per cell. The calculation puts the total DFT energy (no corrections) at -4.60 eV/atom. The value obtained for the formation enthalpy at 0 K is 0.015 eV per atom. The value obtained for the energy above the lowest structure with this stoichiometry is 0.0000 eV/atom.

***

Record 6
Computed, not measured: a relaxed structure of Tb6Sm4Tm at the GGA-PBE level of DFT.

Unit cell a=8.5323 b=8.5323 c=8.5323 alpha=127.18 beta=127.18 gamma=77.95
With the nearest neighbours (Å) after each atom.
Fractional coordinates of all 11 atoms:
Tb1 0.0000 0.5000 0.5000  4 Sm 2.99
Tb2 0.0485 0.5807 0.0000  1 Sm 3.22, 1 Tm 3.51
Tb3 0.4193 0.4193 0.4678  1 Sm 3.22, 1 Tm 3.51
Tb4 0.5000 0.0000 0.5000  4 Sm 2.99
Tb5 0.5807 0.0485 0.0000  1 Sm 3.22, 1 Tm 3.51
Tb6 0.9515 0.9515 0.5322  1 Sm 3.22, 1 Tm 3.51
Sm1 0.2500 0.2500 0.6546  3 Tb 2.99-3.22, 2 Sm 3.33
Sm2 0.4046 0.7500 0.0000  3 Tb 2.99-3.22, 2 Sm 3.33
Sm3 0.5954 0.5954 0.3454  3 Tb 2.99-3.22, 2 Sm 3.33
Sm4 0.7500 0.4046 0.0000  3 Tb 2.99-3.22, 2 Sm 3.33
Tm1 0.0000 0.0000 0.0000  8 Tb 3.51-3.79, 4 Sm 3.66

Output
As for the space group: I-42m. The value obtained for the size of the total moment is 0.00 μB per cell. The calculation puts the total DFT energy (no corrections) at -4.22 eV/atom. The value obtained for the formation enthalpy at 0 K is 0.427 eV per atom. The value obtained for the energy above the lowest structure with this stoichiometry is 0.3029 eV/atom.